# LiCrP2

A relaxed structure of LiCrP2 (GGA-PBE, the Alexandria database).

The structure in CIF format:
```
data_LiCrP2
_symmetry_space_group_name_H-M 'P 1 m 1'
_symmetry_Int_Tables_number 6
_cell_length_a 3.094
_cell_length_b 3.890
_cell_length_c 4.471
_cell_angle_alpha 90.00
_cell_angle_beta 110.19
_cell_angle_gamma 90.00
loop_
_symmetry_equiv_pos_as_xyz
'x,y,z'
'x,-y,z'
loop_
_atom_site_label
_atom_site_fract_x
_atom_site_fract_y
_atom_site_fract_z
_atom_site_occupancy
Li1 0.000 0.000 0.000 1
Cr1 0.262 0.500 0.525 1
P1 0.552 0.500 0.105 1
P2 0.724 0.000 0.451 1
```

Values from the calculation:
The value obtained for the energy above the lowest structure with this stoichiometry is 213.1 meV/atom.

---

# Li2CrP

A relaxed structure of Li2CrP (GGA-PBE, the Alexandria database).

The structure in CIF format:
```
data_Li2CrP
_symmetry_space_group_name_H-M 'C m m m'
_symmetry_Int_Tables_number 65
_symmetry_space_group_name_Hall '-C 2 2'
_cell_length_a 4.636
_cell_length_b 8.780
_cell_length_c 2.514
_cell_angle_alpha 90.00
_cell_angle_beta 90.00
_cell_angle_gamma 90.00
loop_
_atom_site_label
_atom_site_fract_x
_atom_site_fract_y
_atom_site_fract_z
_atom_site_occupancy
Li1 0.250 0.250 0.000 1
Cr1 0.000 0.000 0.500 1
P1 0.000 0.500 0.500 1
```

---

# Li2CrP

A relaxed structure of Li2CrP (GGA-PBE, the Alexandria database).

The structure in CIF format:
```
data_Li2CrP
_symmetry_space_group_name_H-M 'C 1 2/m 1'
_symmetry_Int_Tables_number 12
_cell_length_a 4.610
_cell_length_b 9.177
_cell_length_c 2.578
_cell_angle_alpha 90.00
_cell_angle_beta 117.02
_cell_angle_gamma 90.00
loop_
_symmetry_equiv_pos_as_xyz
'x,y,z'
'-x,-y,-z'
'-x,y,-z'
'x,-y,z'
'x+1/2,y+1/2,z'
'-x+1/2,-y+1/2,-z'
'-x+1/2,y+1/2,-z'
'x+1/2,-y+1/2,z'
loop_
_atom_site_label
_atom_site_fract_x
_atom_site_fract_y
_atom_site_fract_z
_atom_site_occupancy
Li1 0.250 0.250 0.000 1
Cr1 0.000 0.000 0.500 1
P1 0.000 0.500 0.500 1
```

---

# Li2CrP

A relaxed structure of Li2CrP (GGA-PBE, the Alexandria database).

The structure in CIF format:
```
data_Li2CrP
_symmetry_space_group_name_H-M 'I m m m'
_symmetry_Int_Tables_number 71
_symmetry_space_group_name_Hall '-I 2 2'
_cell_length_a 2.717
_cell_length_b 3.858
_cell_length_c 9.293
_cell_angle_alpha 90.00
_cell_angle_beta 90.00
_cell_angle_gamma 90.00
loop_
_atom_site_label
_atom_site_fract_x
_atom_site_fract_y
_atom_site_fract_z
_atom_site_occupancy
Li1 0.000 0.000 0.224 1
Cr1 0.000 0.500 0.000 1
P1 0.000 0.500 0.500 1
```

---

| no. | energy relative to the elements (kJ per mole of atoms) | total magnetic moment (μB/f.u.) |
| --- | --- | --- |
| 1 | -16.38 | 0.00 |
| 2 | 8.04 | 0.38 |
| 3 | -0.18 | 0.00 |
| 4 | -9.16 | 0.00 |